Record 1
Entry from the Alexandria database: a relaxed structure of LiPm2Zn12Cu3 (PBE).

energy relative to the elements: -20 meV per atom

Structure (CIF):
```
data_LiPm2Zn12Cu3
_cell_length_a 9.2658
_cell_length_b 9.2658
_cell_length_c 12.3939
_cell_angle_alpha 90.00
_cell_angle_beta 90.00
_cell_angle_gamma 120.00
_symmetry_space_group_name_H-M 'R -3 m'
_symmetry_Int_Tables_number 166
_symmetry_space_group_name_Hall '-R 3 2"'
loop_
_atom_site_label
_atom_site_fract_x
_atom_site_fract_y
_atom_site_fract_z
Li1 0.0000 0.0000 0.0000
Pm1 0.0000 0.0000 0.2474
Zn1 0.0211 0.5106 0.7061
Zn2 0.0633 0.5316 0.0979
Cu1 0.0000 0.5000 0.5000
```

***

Record 2
Entry from the Alexandria database: a relaxed structure of LiPr3Cu3 (PBE).

energy relative to the elements: -99 meV per atom

Structure (CIF):
```
data_LiPr3Cu3
_cell_length_a 4.1329
_cell_length_b 10.8013
_cell_length_c 14.5434
_cell_angle_alpha 90.00
_cell_angle_beta 90.00
_cell_angle_gamma 90.00
_symmetry_space_group_name_H-M 'C m c m'
_symmetry_Int_Tables_number 63
_symmetry_space_group_name_Hall '-C 2c 2'
loop_
_atom_site_label
_atom_site_fract_x
_atom_site_fract_y
_atom_site_fract_z
Li1 0.0000 0.0000 0.0000
Pr1 0.0000 0.0175 0.2500
Pr2 0.0000 0.2989 0.1018
Cu1 0.0000 0.2750 0.7500
Cu2 0.0000 0.4103 0.5990
```

***

Record 3
Entry from the Alexandria database: a relaxed structure of Li2Pr3Cu4 (PBE).

energy relative to the elements: -83 meV per atom

Structure (CIF):
```
data_Li2Pr3Cu4
_cell_length_a 10.8914
_cell_length_b 4.3966
_cell_length_c 8.5887
_cell_angle_alpha 90.00
_cell_angle_beta 112.66
_cell_angle_gamma 90.00
_symmetry_space_group_name_H-M 'C 1 2/m 1'
_symmetry_Int_Tables_number 12
loop_
_symmetry_equiv_pos_as_xyz
'x,y,z'
'-x,-y,-z'
'-x,y,-z'
'x,-y,z'
'x+1/2,y+1/2,z'
'-x+1/2,-y+1/2,-z'
'-x+1/2,y+1/2,-z'
'x+1/2,-y+1/2,z'
loop_
_atom_site_label
_atom_site_fract_x
_atom_site_fract_y
_atom_site_fract_z
Li1 0.1644 0.0000 0.3299
Pr1 0.0000 0.5000 0.0000
Pr2 0.1411 0.0000 0.6896
Cu1 0.0739 0.5000 0.4082
Cu2 0.2283 0.0000 0.0591
```

***

Record 4
Entry from the Alexandria database: a relaxed structure of Li5Pr2Cu5 (PBE).

energy relative to the elements: -74 meV per atom

Structure (CIF):
```
data_Li5Pr2Cu5
_cell_length_a 4.4240
_cell_length_b 5.2269
_cell_length_c 9.0508
_cell_angle_alpha 90.00
_cell_angle_beta 90.00
_cell_angle_gamma 90.00
_symmetry_space_group_name_H-M 'P m m m'
_symmetry_Int_Tables_number 47
loop_
_symmetry_equiv_pos_as_xyz
'x,y,z'
'-x,-y,-z'
'-x,-y,z'
'x,y,-z'
'x,-y,-z'
'-x,y,z'
'-x,y,-z'
'x,-y,z'
loop_
_atom_site_label
_atom_site_fract_x
_atom_site_fract_y
_atom_site_fract_z
Li1 0.0000 0.0000 0.0000
Li2 0.0000 0.2535 0.2570
Pr1 0.5000 0.0000 0.5000
Pr2 0.5000 0.5000 0.0000
Cu1 0.0000 0.5000 0.5000
Cu2 0.5000 0.0000 0.1648
Cu3 0.5000 0.5000 0.3430
```

***

- Among the records above, which one has the highest energy relative to the elements?
  LiPm2Zn12Cu3

***

- Which value of energy relative to the elements does entry 2 give?
  -99 meV per atom